Entry 1:
Entry from OQMD via LeMat-Bulk: a relaxed LuSiH2O4 crystal (PBE).

Computed properties:
Energy ... -6.548 eV per atom
Energy above the lowest structure with this stoichiometry ... 0.035 eV per atom

Lattice parameters (Å, degrees): 9.0061 10.8529 6.2623 90.00 90.00 90.00
Space group Fdd2 (No. 43)
Symmetry-distinct sites (fractional):
1 Lu 0.0000 0.0000 0.0000 [8 per cell]
2 Si 0.0000 0.0000 0.5360 [8 per cell]
3 H 0.0280 0.2591 0.6290 [16 per cell]
4 O 0.0840 0.4052 0.1967 [16 per cell]
5 O 0.1245 0.0580 0.3559 [16 per cell]

=====

Entry 2:
Entry from OQMD via LeMat-Bulk: a relaxed RbHoCdS3 crystal (PBE).

Computed properties:
Energy ... -4.531 eV per atom

Lattice parameters (Å, degrees): 8.3321 4.1210 10.5733 90.00 110.02 90.00
Space group P2_1/m (No. 11)
Symmetry-distinct sites (fractional):
1 Rb 0.2390 0.2500 0.2280 [2 per cell]
2 Ho 0.1814 0.7500 0.6289 [2 per cell]
3 Cd 0.4166 0.2500 0.8867 [2 per cell]
4 S 0.0345 0.7500 0.3647 [2 per cell]
5 S 0.2619 0.7500 0.9345 [2 per cell]
6 S 0.4113 0.2500 0.6496 [2 per cell]

=====

Entry 3:
Entry from OQMD via LeMat-Bulk: a relaxed NdMgAgSe2S crystal (PBE).

Computed properties:
Energy ... -4.464 eV per atom

Lattice parameters (Å, degrees): 3.9546 13.0241 10.8992 90.00 90.00 90.00
Space group Cmcm (No. 63)
Symmetry-distinct sites (fractional):
1 Nd 0.0000 0.0000 0.0000 [4 per cell]
2 Mg 0.0000 0.2461 0.2500 [4 per cell]
3 Ag 0.0000 0.4854 0.7500 [4 per cell]
4 Se 0.0000 0.3454 0.5783 [8 per cell]
5 S 0.0000 0.1125 0.7500 [4 per cell]

=====

Entry 4:
Entry from OQMD via LeMat-Bulk: a relaxed KRbFe2As2 crystal (PBE).

Computed properties:
Energy ... -4.886 eV per atom

Lattice parameters (Å, degrees): 3.9469 3.9469 9.4736 90.00 90.00 90.00
Space group P4mm (No. 99)
Symmetry-distinct sites (fractional):
1 K 0.0000 0.0000 0.0000 [1 per cell]
2 Rb 0.5000 0.5000 0.6445 [1 per cell]
3 Fe 0.0000 0.5000 0.3083 [2 per cell]
4 As 0.0000 0.0000 0.4400 [1 per cell]
5 As 0.5000 0.5000 0.1769 [1 per cell]

=====

Entry 5:
Entry from OQMD via LeMat-Bulk: a relaxed La2GdMg3In3 crystal (PBE).

Computed properties:
Energy ... -3.464 eV per atom

Lattice parameters (Å, degrees): 4.7943 13.2815 7.8092 90.00 90.00 90.00
Space group Amm2 (No. 38)
Symmetry-distinct sites (fractional):
1 La 0.0000 0.2153 0.0000 [4 per cell]
2 Gd 0.0000 0.0000 0.3573 [2 per cell]
3 Mg 0.5000 0.0000 0.0231 [2 per cell]
4 Mg 0.5000 0.1207 0.6623 [4 per cell]
5 In 0.0000 0.0000 0.7748 [2 per cell]
6 In 0.5000 0.1618 0.2851 [4 per cell]

=====

Entry 6:
Entry from OQMD via LeMat-Bulk: a relaxed TbY2SnPb6 crystal (PBE).

Computed properties:
Energy ... -4.753 eV per atom

Lattice parameters (Å, degrees): 4.5432 27.0514 4.6131 90.00 90.00 90.00
Space group Cmmm (No. 65)
Symmetry-distinct sites (fractional):
1 Tb 0.0000 0.0000 0.0000 [2 per cell]
2 Y 0.0000 0.3084 0.5000 [4 per cell]
3 Sn 0.0000 0.5000 0.5000 [2 per cell]
4 Pb 0.0000 0.0960 0.5000 [4 per cell]
5 Pb 0.0000 0.2085 0.0000 [4 per cell]
6 Pb 0.0000 0.4034 0.0000 [4 per cell]

=====

Entry 7:
Entry from OQMD via LeMat-Bulk: a relaxed RbReMo crystal (PBE).

Computed properties:
Energy ... -5.837 eV per atom
Energy above the lowest structure with this stoichiometry ... 0.000 eV per atom

Lattice parameters (Å, degrees): 6.4638 6.4638 6.4638 90.00 90.00 90.00
Space group F-43m (No. 216)
Symmetry-distinct sites (fractional):
1 Rb 0.0000 0.0000 0.0000 [4 per cell]
2 Re 0.2500 0.2500 0.7500 [4 per cell]
3 Mo 0.0000 0.0000 0.5000 [4 per cell]

=====

Entry 8:
Entry from OQMD via LeMat-Bulk: a relaxed CsTlHg2BiSb crystal (PBE).

Computed properties:
Energy ... -2.158 eV per atom

Lattice parameters (Å, degrees): 5.0061 5.0061 10.4887 90.00 90.00 120.00
Space group P3m1 (No. 156)
Symmetry-distinct sites (fractional):
1 Cs 0.0000 0.0000 0.0000 [1 per cell]
2 Tl 0.0000 0.0000 0.5076 [1 per cell]
3 Hg 0.3333 0.6667 0.7230 [1 per cell]
4 Hg 0.6667 0.3333 0.3142 [1 per cell]
5 Bi 0.3333 0.6667 0.2728 [1 per cell]
6 Sb 0.6667 0.3333 0.7244 [1 per cell]

=====

Entry 9:
Entry from OQMD via LeMat-Bulk: a relaxed UCdIn crystal (PBE).

Computed properties:
Energy ... -4.163 eV per atom

Lattice parameters (Å, degrees): 7.1468 7.1468 7.1468 90.00 90.00 90.00
Space group F-43m (No. 216)
Symmetry-distinct sites (fractional):
1 U 0.0000 0.0000 0.0000 [4 per cell]
2 Cd 0.2500 0.2500 0.7500 [4 per cell]
3 In 0.2500 0.2500 0.2500 [4 per cell]

=====

Entry 10:
Entry from OQMD via LeMat-Bulk: a relaxed AgBiPb crystal (PBE).

Computed properties:
Energy ... -3.341 eV per atom
Energy above the lowest structure with this stoichiometry ... 0.000 eV per atom

Lattice parameters (Å, degrees): 7.2446 7.2446 7.2446 90.00 90.00 90.00
Space group F-43m (No. 216)
Symmetry-distinct sites (fractional):
1 Ag 0.0000 0.0000 0.0000 [4 per cell]
2 Bi 0.2500 0.2500 0.2500 [4 per cell]
3 Pb 0.0000 0.0000 0.5000 [4 per cell]

=====

Entry 11:
Entry from OQMD via LeMat-Bulk: a relaxed PdWCl crystal (PBE).

Computed properties:
Energy ... -5.979 eV per atom

Lattice parameters (Å, degrees): 4.3948 4.3948 8.7400 90.00 90.00 120.00
Space group P-6m2 (No. 187)
Symmetry-distinct sites (fractional):
1 Pd 0.0000 0.0000 0.0000 [1 per cell]
2 Pd 0.0000 0.0000 0.3277 [2 per cell]
3 W 0.3333 0.6667 0.1351 [2 per cell]
4 W 0.6667 0.3333 0.5000 [1 per cell]
5 Cl 0.3333 0.6667 0.5000 [1 per cell]
6 Cl 0.6667 0.3333 0.2196 [2 per cell]

=====

Entry 12:
Entry from OQMD via LeMat-Bulk: a relaxed TmOsAu crystal (PBE).

Computed properties:
Energy ... -5.680 eV per atom
Energy above the lowest structure with this stoichiometry ... 0.263 eV per atom
Formation energy ... 0.64 eV/atom

Lattice parameters (Å, degrees): 6.4281 6.4281 6.4281 90.00 90.00 90.00
Space group F-43m (No. 216)
Symmetry-distinct sites (fractional):
1 Tm 0.0000 0.0000 0.0000 [4 per cell]
2 Os 0.2500 0.2500 0.2500 [4 per cell]
3 Au 0.2500 0.2500 0.7500 [4 per cell]

=====

Entry 13:
Entry from OQMD via LeMat-Bulk: a relaxed RbBaTc crystal (PBE).

Computed properties:
Energy ... -3.136 eV per atom
Energy above the lowest structure with this stoichiometry ... 0.000 eV per atom

Lattice parameters (Å, degrees): 5.2832 5.2832 9.0568 90.00 90.00 90.00
Space group P4/nmm (No. 129, origin choice 2)
Symmetry-distinct sites (fractional):
1 Rb 0.2500 0.2500 0.1208 [2 per cell]
2 Ba 0.2500 0.7500 0.5000 [2 per cell]
3 Tc 0.2500 0.2500 0.7085 [2 per cell]

=====

Entry 14:
Entry from OQMD via LeMat-Bulk: a relaxed Hf2Ga2CuAu crystal (PBE).

Computed properties:
Energy ... -5.941 eV per atom
Energy above the lowest structure with this stoichiometry ... 0.000 eV per atom

Lattice parameters (Å, degrees): 4.2948 4.2948 6.5858 90.00 90.00 120.00
Space group P3m1 (No. 156)
Symmetry-distinct sites (fractional):
1 Hf 0.0000 0.0000 0.0000 [1 per cell]
2 Hf 0.0000 0.0000 0.4859 [1 per cell]
3 Ga 0.3333 0.6667 0.2191 [1 per cell]
4 Ga 0.3333 0.6667 0.7834 [1 per cell]
5 Cu 0.6667 0.3333 0.2785 [1 per cell]
6 Au 0.6667 0.3333 0.6970 [1 per cell]

=====

Entry 15:
Entry from OQMD via LeMat-Bulk: a relaxed HfC8 crystal (PBE).

Computed properties:
Energy ... -9.080 eV per atom
Energy above the lowest structure with this stoichiometry ... 0.000 eV per atom

Lattice parameters (Å, degrees): 5.0244 8.7055 15.6588 90.00 90.00 90.00
Space group Fddd (No. 70, origin choice 2)
Symmetry-distinct sites (fractional):
1 Hf 0.1250 0.1250 0.1250 [8 per cell]
2 C 0.1243 0.2912 0.7524 [32 per cell]
3 C 0.1240 0.2921 0.0014 [32 per cell]

=====

Entry 16:
Entry from OQMD via LeMat-Bulk: a relaxed La2TlInPd4 crystal (PBE).

Computed properties:
Energy ... -5.189 eV per atom

Lattice parameters (Å, degrees): 4.7207 4.7207 9.2421 90.00 90.00 120.00
Space group P-3m1 (No. 164)
Symmetry-distinct sites (fractional):
1 La 0.3333 0.6667 0.2501 [2 per cell]
2 Tl 0.0000 0.0000 0.0000 [1 per cell]
3 In 0.0000 0.0000 0.5000 [1 per cell]
4 Pd 0.3333 0.6667 0.5829 [2 per cell]
5 Pd 0.3333 0.6667 0.9109 [2 per cell]

=====

Entry 17:
Entry from OQMD via LeMat-Bulk: a relaxed Al3Ir crystal (PBE).

Computed properties:
Energy ... -5.516 eV per atom

Lattice parameters (Å, degrees): 5.4434 5.4434 4.5639 90.00 90.00 120.00
Space group P6_3/mmc (No. 194)
Symmetry-distinct sites (fractional):
1 Al 0.1701 0.3401 0.2500 [6 per cell]
2 Ir 0.3333 0.6667 0.7500 [2 per cell]

=====

Entry 18:
Entry from OQMD via LeMat-Bulk: a relaxed CoReSiMo crystal (PBE).

Computed properties:
Energy ... -8.998 eV per atom
Energy above the lowest structure with this stoichiometry ... 0.000 eV per atom

Lattice parameters (Å, degrees): 6.0030 6.0030 6.0030 90.00 90.00 90.00
Space group F-43m (No. 216)
Symmetry-distinct sites (fractional):
1 Co 0.0000 0.0000 0.0000 [4 per cell]
2 Re 0.0000 0.0000 0.5000 [4 per cell]
3 Si 0.2500 0.2500 0.7500 [4 per cell]
4 Mo 0.2500 0.2500 0.2500 [4 per cell]

=====

Entry 19:
Entry from OQMD via LeMat-Bulk: a relaxed SrCu8As4 crystal (PBE).

Computed properties:
Energy ... -4.049 eV per atom

Lattice parameters (Å, degrees): 10.4651 10.4651 3.9036 90.00 90.00 90.00
Space group I4/m (No. 87)
Symmetry-distinct sites (fractional):
1 Sr 0.0000 0.0000 0.0000 [2 per cell]
2 Cu 0.0196 0.3737 0.0000 [8 per cell]
3 Cu 0.1722 0.2858 0.5000 [8 per cell]
4 As 0.0684 0.7496 0.5000 [8 per cell]

=====

Entry 20:
Entry from OQMD via LeMat-Bulk: a relaxed HoFeAg crystal (PBE).

Computed properties:
Energy ... -4.445 eV per atom
Formation energy ... 0.79 eV/atom

Lattice parameters (Å, degrees): 6.5836 6.5836 6.5836 90.00 90.00 90.00
Space group F-43m (No. 216)
Symmetry-distinct sites (fractional):
1 Ho 0.0000 0.0000 0.0000 [4 per cell]
2 Fe 0.2500 0.2500 0.2500 [4 per cell]
3 Ag 0.2500 0.2500 0.7500 [4 per cell]

=====

Entry 21:
Entry from OQMD via LeMat-Bulk: a relaxed RbNdGe2O6 crystal (PBE).

Computed properties:
Energy ... -6.679 eV per atom

Lattice parameters (Å, degrees): 8.8567 10.9968 19.5474 90.00 102.80 90.00
Space group C2/c (No. 15)
Symmetry-distinct sites (fractional):
1 Rb 0.0000 0.1551 0.2500 [4 per cell]
2 Rb 0.1447 0.1456 0.0759 [8 per cell]
3 Nd 0.0000 0.3923 0.7500 [4 per cell]
4 Nd 0.1562 0.4539 0.5805 [8 per cell]
5 Ge 0.0236 0.1661 0.8908 [8 per cell]
6 Ge 0.1820 0.3425 0.4056 [8 per cell]
7 Ge 0.2237 0.1123 0.7417 [8 per cell]
8 O 0.0092 0.3211 0.8694 [8 per cell]
9 O 0.0420 0.0700 0.6845 [8 per cell]
10 O 0.0751 0.4222 0.4558 [8 per cell]
11 O 0.1154 0.1309 0.5563 [8 per cell]
12 O 0.1429 0.4101 0.3181 [8 per cell]
13 O 0.1483 0.1883 0.3975 [8 per cell]
14 O 0.2003 0.4960 0.7011 [8 per cell]
15 O 0.2025 0.1206 0.9373 [8 per cell]
16 O 0.2160 0.2555 0.7766 [8 per cell]

=====

Entry 22:
Entry from OQMD via LeMat-Bulk: a relaxed SmCl2O2 crystal (PBE).

Computed properties:
Energy ... -5.373 eV per atom

Lattice parameters (Å, degrees): 6.8243 6.9971 6.9988 117.00 101.73 100.69
Space group P-1 (No. 2)
Symmetry-distinct sites (fractional):
1 Sm 0.9999 0.1721 0.3278 [2 per cell]
2 Cl 0.2658 0.0121 0.0925 [2 per cell]
3 Cl 0.2657 0.5893 0.5155 [2 per cell]
4 O 0.0666 0.1916 0.6923 [2 per cell]
5 O 0.2045 0.0969 0.5992 [2 per cell]